Computed, not measured: crystalline K3SnHg6 at its relaxed geometry at the PBE level of DFT.

Values from the calculation:
- Total magnetic moment: 0.00 μB/f.u.
- Calculated total energy: -1.14 eV per atom

The structure in CIF format:
```
data_K3SnHg6
_space_group_name_H-M_alt 'R -3 m'
_space_group_IT_number 166
_space_group_name_Hall '-R 3 2"'
_cell_length_a 13.1238
_cell_length_b 13.1238
_cell_length_c 6.5986
_cell_angle_alpha 90.00
_cell_angle_beta 90.00
_cell_angle_gamma 120.00
loop_
_atom_site_label
_atom_site_fract_x
_atom_site_fract_y
_atom_site_fract_z
K1 0.0000 0.5000 0.0000
Sn1 0.0000 0.0000 0.5000
Hg1 0.0978 0.1956 0.8390
```